# NdSmSc6

An optimized crystal structure of NdSmSc6 (GGA-PBE, the Alexandria database).

Properties
space group = No. 187
calculated formation energy = 0.3 eV/f.u.
theoretical density = 4.3 Mg/m³
calculated total energy = -5.897 eV per atom

Cell lengths 5.354, 6.824, 6.824 Å; angles 120.00, 90.00, 90.00 degrees
Each line ends with the local moment (μB).
Fractional positions:
Nd (0.000, 0.083, 0.917)  0.03
Sm (0.500, 0.417, 0.583)  0.04
Sc (0.000, 0.074, 0.412)  0.05
Sc (0.000, 0.588, 0.926)  0.05
Sc (0.000, 0.588, 0.412)  0.05
Sc (0.500, 0.427, 0.089)  0.05
Sc (0.500, 0.911, 0.573)  0.05
Sc (0.500, 0.912, 0.088)  0.05